(1)
VASP calculation (meta-GGA SCAN) on a crystal of BeReH2N relaxed with PBEsol.

Cell: 2.852 2.852 5.249 Å, 90.00 90.00 90.00°
Element x y z (fractional)
Be: 0.000 0.000 0.000
Re: 0.000 0.000 0.500
H: 0.000 0.500 0.000
H: 0.500 0.000 0.000
N: 0.500 0.500 0.500

Output
Fermi-level density of states, states/eV/f.u.: 2.07
Raw total energy, eV per atom: -17.806
Space group: No. 123

=====

(2)
VASP calculation (meta-GGA SCAN) on a crystal of CaScGe3 relaxed with PBEsol.

Cell: 5.012 5.012 5.012 Å, 90.00 90.00 90.00°
Element x y z (fractional)
Ca: 0.000 0.000 0.000
Sc: 0.500 0.500 0.500
Ge: 0.000 0.500 0.500
Ge: 0.500 0.000 0.500
Ge: 0.500 0.500 0.000

Output
Fermi-level density of states, states/eV/f.u.: 2.31
DFT formation energy, eV per atom: -0.048
Raw total energy, eV per atom: -16.280
Space group: No. 221

=====

(3)
VASP calculation (meta-GGA SCAN) on a crystal of CoSiOs2 relaxed with PBEsol.

Cell: 2.764 2.764 6.453 Å, 90.00 90.00 90.00°
Element x y z (fractional)
Co: 0.000 0.000 0.000
Si: 0.500 0.500 0.816
Os: 0.000 0.000 0.561
Os: 0.500 0.500 0.285

Output
Fermi-level density of states, states/eV/f.u.: 1.28
Raw total energy, eV per atom: -42.893
ΔE_f (raw), eV per formula unit: -0.490
Space group: No. 99

=====

(4)
VASP calculation (meta-GGA SCAN) on a crystal of Li2Fe3SnO8 relaxed with PBEsol.

Cell: 5.150 5.720 10.388 Å, 90.00 110.41 90.00°
Element x y z (fractional)
Li: 0.000 0.227 0.004
Li: 0.000 0.227 0.496
Li: 0.000 0.773 0.504
Li: 0.000 0.773 0.996
Fe: 0.500 0.000 0.000
Fe: 0.500 0.000 0.500
Fe: 0.500 0.218 0.250
Fe: 0.500 0.500 0.000
Fe: 0.500 0.500 0.500
Fe: 0.500 0.782 0.750
Sn: 0.000 0.482 0.750
Sn: 0.000 0.518 0.250
O: 0.257 0.274 0.899
O: 0.257 0.726 0.399
O: 0.258 0.452 0.142
O: 0.258 0.548 0.642
O: 0.267 0.267 0.392
O: 0.267 0.733 0.892
O: 0.308 0.004 0.118
O: 0.308 0.996 0.618
O: 0.692 0.004 0.382
O: 0.692 0.996 0.882
O: 0.733 0.267 0.108
O: 0.733 0.733 0.608
O: 0.742 0.452 0.358
O: 0.742 0.548 0.858
O: 0.743 0.274 0.601
O: 0.743 0.726 0.101

Output
Fermi-level density of states, states/eV/f.u.: 3.21
Excess energy over the best structure of this formula in the dataset, meV/atom: 131
Raw total energy, eV per atom: -11.985
ΔE_f (raw), eV per formula unit: -22.853
Space group: No. 13

=====

(5)
VASP calculation (meta-GGA SCAN) on a crystal of KBaAu2 relaxed with PBEsol.

Cell: 4.742 4.501 11.768 Å, 90.00 90.00 90.00°
Element x y z (fractional)
K: 0.000 0.000 0.000
K: 0.000 0.500 0.500
Ba: 0.500 0.000 0.283
Ba: 0.500 0.500 0.783
Au: 0.000 0.000 0.711
Au: 0.000 0.500 0.211
Au: 0.500 0.000 0.576
Au: 0.500 0.500 0.076

Output
Fermi-level density of states, states/eV/f.u.: 1.66
DFT formation energy, eV per atom: -0.665
Excess energy over the best structure of this formula in the dataset, meV/atom: 0
Raw total energy, eV per atom: -47.213
Space group: No. 38

=====

(6)
VASP calculation (meta-GGA SCAN) on a crystal of Ba2LiCa relaxed with PBEsol.

Cell: 4.266 4.266 9.942 Å, 90.00 90.00 90.00°
Element x y z (fractional)
Ba: 0.000 0.000 0.214
Ba: 0.000 0.000 0.786
Li: 0.500 0.500 0.000
Ca: 0.500 0.500 0.500

Output
Fermi-level density of states, states/eV/f.u.: 4.71
DFT formation energy, eV per atom: 0.033
Excess energy over the best structure of this formula in the dataset, meV/atom: 1
Raw total energy, eV per atom: -22.755
Space group: No. 123

=====

(7)
VASP calculation (meta-GGA SCAN) on a crystal of Mg2PBr relaxed with PBEsol.

Cell: 3.902 3.902 19.270 Å, 90.00 90.00 120.00°
Element x y z (fractional)
Mg: 0.000 0.000 0.229
Mg: 0.000 0.000 0.771
Mg: 0.333 0.667 0.438
Mg: 0.333 0.667 0.896
Mg: 0.667 0.333 0.104
Mg: 0.667 0.333 0.562
P: 0.000 0.000 0.500
P: 0.333 0.667 0.167
P: 0.667 0.333 0.833
Br: 0.000 0.000 0.000
Br: 0.333 0.667 0.667
Br: 0.667 0.333 0.333

Output
Fermi-level density of states, states/eV/f.u.: 0.00
Excess energy over the best structure of this formula in the dataset, meV/atom: 0
Raw total energy, eV per atom: -11.005
ΔE_f (raw), eV per formula unit: -4.215
Space group: No. 166

=====

(8)
VASP calculation (meta-GGA SCAN) on a crystal of Si2C2Se relaxed with PBEsol.

Cell: 3.900 3.900 7.068 Å, 90.00 90.00 90.00°
Element x y z (fractional)
Si: 0.000 0.500 0.250
Si: 0.000 0.500 0.750
Si: 0.500 0.000 0.250
Si: 0.500 0.000 0.750
C: 0.000 0.000 0.110
C: 0.000 0.000 0.890
C: 0.500 0.500 0.390
C: 0.500 0.500 0.610
Se: 0.000 0.000 0.500
Se: 0.500 0.500 0.000

Output
Fermi-level density of states, states/eV/f.u.: 1.96
Raw total energy, eV per atom: -10.946
ΔE_f (raw), eV per formula unit: 5.579
Space group: No. 139

=====

(9)
VASP calculation (meta-GGA SCAN) on a crystal of Li4V5CuClO15 relaxed with PBEsol.

Cell: 8.467 8.467 5.120 Å, 90.00 90.00 90.00°
Element x y z (fractional)
Li: 0.139 0.781 0.000
Li: 0.219 0.139 0.000
Li: 0.781 0.861 0.000
Li: 0.861 0.219 0.000
V: 0.143 0.362 0.455
V: 0.362 0.857 0.455
V: 0.500 0.500 0.364
V: 0.638 0.143 0.455
V: 0.857 0.638 0.455
Cu: 0.000 0.000 0.319
Cl: 0.000 0.000 0.784
O: 0.000 0.500 0.569
O: 0.054 0.224 0.251
O: 0.223 0.273 0.703
O: 0.224 0.946 0.251
O: 0.273 0.777 0.703
O: 0.289 0.457 0.276
O: 0.457 0.711 0.276
O: 0.500 0.000 0.569
O: 0.500 0.500 0.672
O: 0.543 0.289 0.276
O: 0.711 0.543 0.276
O: 0.727 0.223 0.703
O: 0.776 0.054 0.251
O: 0.777 0.727 0.703
O: 0.946 0.776 0.251

Output
Raw total energy, eV per atom: -10.519
ΔE_f (raw), eV per formula unit: -59.857
Space group: No. 75

=====

(10)
VASP calculation (meta-GGA SCAN) on a crystal of MnBeBr relaxed with PBEsol.

Cell: 3.124 3.124 5.414 Å, 90.00 90.00 120.00°
Element x y z (fractional)
Mn: 0.000 0.000 0.000
Be: 0.333 0.667 0.704
Br: 0.667 0.333 0.352

Output
Fermi-level density of states, states/eV/f.u.: 1.00
Excess energy over the best structure of this formula in the dataset, meV/atom: 0
Raw total energy, eV per atom: -13.796
ΔE_f (raw), eV per formula unit: 0.679
Space group: No. 156

=====

(11)
VASP calculation (meta-GGA SCAN) on a crystal of SrHfTaOs2 relaxed with PBEsol.

Cell: 4.692 4.692 4.730 Å, 90.00 90.00 90.00°
Element x y z (fractional)
Sr: 0.000 0.000 0.000
Hf: 0.500 0.500 0.500
Ta: 0.000 0.000 0.500
Os: 0.000 0.500 0.000
Os: 0.500 0.000 0.000

Output
Fermi-level density of states, states/eV/f.u.: 5.08
DFT formation energy, eV per atom: 2.959
Raw total energy, eV per atom: -56.100
Space group: No. 123

=====

(12)
VASP calculation (meta-GGA SCAN) on a crystal of Be3ZnIn relaxed with PBEsol.

Cell: 4.520 4.520 4.520 Å, 90.00 90.00 90.00°
Element x y z (fractional)
Be: 0.000 0.000 0.500
Be: 0.000 0.500 0.000
Be: 0.500 0.000 0.000
Zn: 0.500 0.500 0.500
In: 0.000 0.000 0.000

Output
Fermi-level density of states, states/eV/f.u.: 0.87
DFT formation energy, eV per atom: 1.180
Excess energy over the best structure of this formula in the dataset, meV/atom: 489
Raw total energy, eV per atom: -10.812
Space group: No. 221

=====

Question: What is the raw total energy in the eleventh record?
Answer: -56.100 eV per atom

=====

Question: Which value of raw total energy does entry 8 give?
Answer: -10.946 eV per atom